A geometry-optimized AcPmPrY structure, computed with GGA-PBE.

Results
- uncorrected energy (eV per atom) = -4.91
- offset from the most stable computed form (meV/atom) = 77.5
- energy relative to the elements (meV/atom) = 113
- volume (Å³ per cell) = 590.72
- magnetization (Bohr magnetons per cell) = 0.0

Cell lengths 8.391, 8.391, 8.391 Å; angles 90.00, 90.00, 90.00 degrees
Space group F-43m (No. 216)
Inequivalent atoms, fractional coordinates:
Ac  0.000  0.000  0.000 [4 per cell]
Pm  0.250  0.250  0.250 [4 per cell]
Pr  0.000  0.000  0.500 [4 per cell]
Y  0.250  0.250  0.750 [4 per cell]



A geometry-optimized RbAc3La2Te6 structure, computed with GGA-PBE.

Results
- uncorrected energy (eV per atom) = -4.98
- uncorrected formation energy (eV/atom) = -1.484
- volume (Å³ per cell) = 901.24
- magnetization (Bohr magnetons per cell) = 0.0

Cell lengths 20.619, 4.694, 9.557 Å; angles 90.00, 102.99, 90.00 degrees
Space group C2/m (No. 12)
Inequivalent atoms, fractional coordinates:
Rb  0.000  0.000  0.000 [2 per cell]
Ac  0.000  0.000  0.500 [2 per cell]
Ac  0.162  0.500  0.826 [4 per cell]
La  0.170  0.500  0.344 [4 per cell]
Te  0.006  0.500  0.262 [4 per cell]
Te  0.167  0.000  0.580 [4 per cell]
Te  0.172  0.000  0.092 [4 per cell]



Number 1: density 6.8 g/cm³. Number 2: density 6.7 g/cm³.